[1]
Material: AlTc4
Method: DFT, GGA-PBE
State: optimized geometry

energy relative to the elements	1230	meV/atom
Fermi-level density of states	7.6	states/eV/f.u.
offset from the most stable computed form	0	meV per atom

Structure (CIF):
```
data_AlTc4
_cell_length_a 5.543
_cell_length_b 5.543
_cell_length_c 5.543
_cell_angle_alpha 90.00
_cell_angle_beta 90.00
_cell_angle_gamma 90.00
_symmetry_space_group_name_H-M 'I m -3 m'
_symmetry_Int_Tables_number 229
_symmetry_space_group_name_Hall '-I 4 2 3'
loop_
_atom_site_label
_atom_site_fract_x
_atom_site_fract_y
_atom_site_fract_z
Al1 0.000 0.000 0.000
Tc1 0.250 0.250 0.250
```



[2]
Material: LiPuAlCd
Method: DFT, GGA-PBE
State: optimized geometry

energy relative to the elements	-42	meV/atom
Fermi-level density of states	7.9	states/eV/f.u.

Structure (CIF):
```
data_LiPuAlCd
_cell_length_a 6.921
_cell_length_b 6.921
_cell_length_c 6.921
_cell_angle_alpha 90.00
_cell_angle_beta 90.00
_cell_angle_gamma 90.00
_symmetry_space_group_name_H-M 'F -4 3 m'
_symmetry_Int_Tables_number 216
_symmetry_space_group_name_Hall 'F -4 2 3'
loop_
_atom_site_label
_atom_site_fract_x
_atom_site_fract_y
_atom_site_fract_z
Li1 0.000 0.000 0.000
Pu1 0.250 0.250 0.750
Al1 0.000 0.000 0.500
Cd1 0.250 0.250 0.250
```



[3]
Material: Ac3PdO
Method: DFT, GGA-PBE
State: optimized geometry

formation energy from raw total energies	-1101	meV per atom
Fermi-level density of states	6.3	states/eV/f.u.

Structure (CIF):
```
data_Ac3PdO
_cell_length_a 5.224
_cell_length_b 5.224
_cell_length_c 5.224
_cell_angle_alpha 90.00
_cell_angle_beta 90.00
_cell_angle_gamma 90.00
_symmetry_space_group_name_H-M 'P m -3 m'
_symmetry_Int_Tables_number 221
_symmetry_space_group_name_Hall '-P 4 2 3'
loop_
_atom_site_label
_atom_site_fract_x
_atom_site_fract_y
_atom_site_fract_z
Ac1 0.000 0.000 0.500
Pd1 0.500 0.500 0.500
O1 0.000 0.000 0.000
```



[4]
Material: FeSb3Pt
Method: DFT, GGA-PBE
State: optimized geometry

formation energy from raw total energies	460	meV per atom
Fermi-level density of states	3.2	states/eV/f.u.
offset from the most stable computed form	0	meV per atom

Structure (CIF):
```
data_FeSb3Pt
_cell_length_a 4.832
_cell_length_b 4.832
_cell_length_c 4.832
_cell_angle_alpha 90.00
_cell_angle_beta 90.00
_cell_angle_gamma 90.00
_symmetry_space_group_name_H-M 'P m -3 m'
_symmetry_Int_Tables_number 221
_symmetry_space_group_name_Hall '-P 4 2 3'
loop_
_atom_site_label
_atom_site_fract_x
_atom_site_fract_y
_atom_site_fract_z
Fe1 0.000 0.000 0.000
Sb1 0.000 0.000 0.500
Pt1 0.500 0.500 0.500
```



[5]
Material: USnSe
Method: DFT, GGA-PBE
State: optimized geometry

formation energy from raw total energies	-130	meV per atom
Fermi-level density of states	6.3	states/eV/f.u.

Structure (CIF):
```
data_USnSe
_cell_length_a 6.651
_cell_length_b 12.987
_cell_length_c 15.959
_cell_angle_alpha 90.00
_cell_angle_beta 90.00
_cell_angle_gamma 90.00
_symmetry_space_group_name_H-M 'F d d d'
_symmetry_Int_Tables_number 70
loop_
_symmetry_equiv_pos_as_xyz
'x,y,z'
'-x,-y,-z'
'-x+1/4,-y+1/4,z'
'x+1/4,y+1/4,-z'
'x,-y+1/4,-z+1/4'
'-x,y+1/4,z+1/4'
'-x+1/4,y,-z+1/4'
'x+1/4,-y,z+1/4'
'x,y+1/2,z+1/2'
'-x,-y+1/2,-z+1/2'
'-x+1/4,-y+3/4,z+1/2'
'x+1/4,y+3/4,-z+1/2'
'x,-y+3/4,-z+3/4'
'-x,y+3/4,z+3/4'
'-x+1/4,y+1/2,-z+3/4'
'x+1/4,-y+1/2,z+3/4'
'x+1/2,y,z+1/2'
'-x+1/2,-y,-z+1/2'
'-x+3/4,-y+1/4,z+1/2'
'x+3/4,y+1/4,-z+1/2'
'x+1/2,-y+1/4,-z+3/4'
'-x+1/2,y+1/4,z+3/4'
'-x+3/4,y,-z+3/4'
'x+3/4,-y,z+3/4'
'x+1/2,y+1/2,z'
'-x+1/2,-y+1/2,-z'
'-x+3/4,-y+3/4,z'
'x+3/4,y+3/4,-z'
'x+1/2,-y+3/4,-z+1/4'
'-x+1/2,y+3/4,z+1/4'
'-x+3/4,y+1/2,-z+1/4'
'x+3/4,-y+1/2,z+1/4'
loop_
_atom_site_label
_atom_site_fract_x
_atom_site_fract_y
_atom_site_fract_z
U1 0.125 0.363 0.125
Sn1 0.125 0.125 0.039
Se1 0.000 0.000 0.500
```



[6]
Material: Sr4Li2Br9
Method: DFT, GGA-PBE
State: optimized geometry

formation energy from raw total energies	-1815	meV per atom
Fermi-level density of states	2.2	states/eV/f.u.

Structure (CIF):
```
data_Sr4Li2Br9
_cell_length_a 7.731
_cell_length_b 7.735
_cell_length_c 19.384
_cell_angle_alpha 89.99
_cell_angle_beta 89.98
_cell_angle_gamma 60.03
_symmetry_space_group_name_H-M 'P -1'
_symmetry_Int_Tables_number 2
_symmetry_space_group_name_Hall '-P 1'
loop_
_atom_site_label
_atom_site_fract_x
_atom_site_fract_y
_atom_site_fract_z
Sr1 0.166 0.167 0.023
Sr2 0.167 0.166 0.321
Sr3 0.167 0.167 0.549
Sr4 0.167 0.167 0.792
Li1 0.500 0.499 0.158
Li2 0.500 0.500 0.345
Br1 0.141 0.815 0.085
Br2 0.158 0.565 0.577
Br3 0.185 0.456 0.915
Br4 0.204 0.761 0.758
Br5 0.223 0.842 0.424
Br6 0.239 0.464 0.242
Br7 0.435 0.223 0.424
Br8 0.456 0.859 0.915
Br9 0.465 0.795 0.242
```



[7]
Material: SrHgSb2
Method: DFT, GGA-PBE
State: optimized geometry

formation energy from raw total energies	-303	meV per atom
Fermi-level density of states	3.3	states/eV/f.u.

Structure (CIF):
```
data_SrHgSb2
_cell_length_a 7.831
_cell_length_b 7.831
_cell_length_c 7.831
_cell_angle_alpha 90.00
_cell_angle_beta 90.00
_cell_angle_gamma 90.00
_symmetry_space_group_name_H-M 'F -4 3 m'
_symmetry_Int_Tables_number 216
_symmetry_space_group_name_Hall 'F -4 2 3'
loop_
_atom_site_label
_atom_site_fract_x
_atom_site_fract_y
_atom_site_fract_z
Sr1 0.000 0.000 0.000
Hg1 0.250 0.250 0.250
Sb1 0.000 0.000 0.500
Sb2 0.250 0.250 0.750
```



[8]
Material: Li4Dy3HoS8
Method: DFT, GGA-PBE
State: optimized geometry

formation energy from raw total energies	-1851	meV per atom
Fermi-level density of states	0.0	states/eV/f.u.

Structure (CIF):
```
data_Li4Dy3HoS8
_cell_length_a 7.8184
_cell_length_b 7.8184
_cell_length_c 18.5275
_cell_angle_alpha 90.00
_cell_angle_beta 90.00
_cell_angle_gamma 120.00
_symmetry_space_group_name_H-M 'R -3 m'
_symmetry_Int_Tables_number 166
_symmetry_space_group_name_Hall '-R 3 2"'
loop_
_atom_site_label
_atom_site_fract_x
_atom_site_fract_y
_atom_site_fract_z
Li1 0.0000 0.0000 0.0000
Li2 0.0000 0.5000 0.0000
Dy1 0.0000 0.5000 0.5000
Ho1 0.0000 0.0000 0.5000
S1 0.0000 0.0000 0.2502
S2 0.0011 0.5006 0.2500
```